No. 1
# Ca2La5Nd12

A relaxed structure of Ca2La5Nd12 (PBE-GGA, Alexandria).

Geometry as POSCAR:
```
Ca2La5Nd12
1.0
6.7051 -5.9722 0.0000
6.7051 5.9722 0.0000
-4.3571 0.0000 8.6940
Ca La Nd
2 5 12
Direct
0.2357 0.7643 0.0000
0.7643 0.2357 0.0000
0.1894 0.1894 0.2345
0.3079 0.3079 0.6730
0.5000 0.5000 0.5000
0.6921 0.6921 0.3270
0.8106 0.8106 0.7655
0.0604 0.5564 0.1938
0.0747 0.0747 0.7759
0.1168 0.6677 0.5737
0.3323 0.8832 0.4263
0.3728 0.3728 0.0575
0.4436 0.9396 0.8062
0.5564 0.0604 0.1938
0.6272 0.6272 0.9425
0.6677 0.1168 0.5737
0.8832 0.3323 0.4263
0.9253 0.9253 0.2241
0.9396 0.4436 0.8062
```

## Properties
**E_form**: 119 meV/atom
**Fermi-level density of states**: 30.27 states/eV/f.u.
**Symmetry**: C2/m, No. 12
**Mass density**: 5.975 g/cm³
**Calculated total energy**: -4.400 eV per atom


No. 2
# CaLaRu

A relaxed structure of CaLaRu (PBE-GGA, Alexandria).

Geometry as POSCAR:
```
CaLaRu
1.0
0.0000 3.4712 3.4712
3.4712 0.0000 3.4712
3.4712 3.4712 0.0000
Ca La Ru
1 1 1
Direct
0.0000 0.0000 0.0000
0.5000 0.5000 0.5000
0.2500 0.2500 0.2500
```

## Properties
**E_form**: 26 meV/atom
**Fermi-level density of states**: 3.58 states/eV/f.u.
**E above lowest polymorph**: 0.088 eV/atom
**Symmetry**: F-43m, No. 216
**Mass density**: 5.560 g/cm³
**Calculated total energy**: -5.376 eV per atom


No. 3
# Ac6Sn3H

A relaxed structure of Ac6Sn3H (PBE-GGA, Alexandria).

Geometry as POSCAR:
```
Ac6Sn3H
1.0
6.3812 -7.9124 0.0000
6.3812 7.9124 0.0000
0.0000 0.0000 7.7558
Ac Sn H
12 6 2
Direct
0.0470 0.9530 0.5000
0.0992 0.5696 0.4764
0.2247 0.7753 0.9381
0.3098 0.3645 0.9497
0.3645 0.3098 0.4497
0.4304 0.9008 0.4764
0.5696 0.0992 0.9764
0.6355 0.6902 0.9497
0.6902 0.6355 0.4497
0.7753 0.2247 0.4381
0.9008 0.4304 0.9764
0.9530 0.0470 0.0000
0.0579 0.2724 0.6741
0.2724 0.0579 0.1741
0.3814 0.6186 0.2386
0.6186 0.3814 0.7386
0.7276 0.9421 0.6741
0.9421 0.7276 0.1741
0.1994 0.8006 0.6067
0.8006 0.1994 0.1067
```

## Properties
**Fermi-level density of states**: 11.19 states/eV/f.u.
**Symmetry**: Cmc2_1, No. 36
**Mass density**: 7.290 g/cm³
**Calculated total energy**: -4.390 eV per atom


No. 4
# K3In2P2

A relaxed structure of K3In2P2 (PBE-GGA, Alexandria).

Geometry as POSCAR:
```
K3In2P2
1.0
7.7323 0.0000 0.0000
0.0000 7.9604 0.0000
0.0000 0.0000 14.0899
K In P
12 8 8
Direct
0.0538 0.0643 0.1203
0.0538 0.0643 0.3797
0.0538 0.4357 0.6203
0.0538 0.4357 0.8797
0.3646 0.7380 0.2500
0.3646 0.7620 0.7500
0.6354 0.2380 0.2500
0.6354 0.2620 0.7500
0.9462 0.5643 0.1203
0.9462 0.5643 0.3797
0.9462 0.9357 0.6203
0.9462 0.9357 0.8797
0.3554 0.1016 0.5664
0.3554 0.1016 0.9336
0.3554 0.3984 0.0664
0.3554 0.3984 0.4336
0.6446 0.6016 0.5664
0.6446 0.6016 0.9336
0.6446 0.8984 0.0664
0.6446 0.8984 0.4336
0.2445 0.1458 0.7500
0.2445 0.3542 0.2500
0.3339 0.7500 0.0000
0.3339 0.7500 0.5000
0.6661 0.2500 0.0000
0.6661 0.2500 0.5000
0.7555 0.6458 0.7500
0.7555 0.8542 0.2500
```

## Properties
**E_form**: -217 meV/atom
**Fermi-level density of states**: 2.44 states/eV/f.u.
**Symmetry**: Pbcm, No. 57
**Mass density**: 3.131 g/cm³
**Calculated total energy**: -3.016 eV per atom